VASP calculation (GGA-PBE) on an optimized crystal structure of Ac7Pr3Er2.

Calculated values
Electronic total energy in eV per cell: -50.9

```
Ac7Pr3Er2
1.0
3.775 0.000 0.000
0.000 6.899 0.906
0.000 2.505 18.973
Ac Pr Er
7 3 2
Direct
0.500 0.950 0.824
0.500 0.050 0.176
0.500 0.241 0.506
0.000 0.446 0.828
0.000 0.554 0.172
0.000 0.000 0.000
0.500 0.759 0.494
0.000 0.880 0.659
0.500 0.500 0.000
0.000 0.120 0.341
0.500 0.392 0.669
0.500 0.608 0.331
```